No. 1
Computed, not measured: a geometry-optimized TbTiGe structure at the PBE level of DFT.

Calculated values
Theoretical density ... 7.3 g/cm³
D(E_F) ... 2.578 states/eV/f.u.
Energy of formation ... -0.687 eV/atom

a b c (Å): 4.067 4.067 7.726
angles (deg): 90.00 90.00 90.00
Element x y z (fractional)
Tb 0.250 0.250 0.156
Tb 0.750 0.750 0.844
Ti 0.250 0.750 0.500
Ti 0.750 0.250 0.500
Ge 0.250 0.250 0.741
Ge 0.750 0.750 0.259

***

No. 2
Computed, not measured: a geometry-optimized Tb2TiGe3 structure at the PBE level of DFT.

Calculated values
Theoretical density ... 7.3 g/cm³
D(E_F) ... 3.184 states/eV/f.u.
Energy of formation ... -0.588 eV/atom

a b c (Å): 6.309 6.309 6.309
angles (deg): 137.71 126.71 70.27
Element x y z (fractional)
Tb 0.180 0.180 0.000
Tb 0.820 0.820 0.000
Ti 0.500 0.500 0.000
Ge 0.000 0.500 0.500
Ge 0.370 0.870 0.500
Ge 0.630 0.130 0.500

***

No. 3
Computed, not measured: a geometry-optimized Tb2Ti3Ge4 structure at the PBE level of DFT.

Calculated values
Theoretical density ... 7.3 g/cm³
D(E_F) ... 8.347 states/eV/f.u.
Energy of formation ... -0.800 eV/atom

a b c (Å): 7.184 7.169 7.021
angles (deg): 90.00 109.62 90.00
Element x y z (fractional)
Tb 0.188 0.170 0.062
Tb 0.188 0.330 0.562
Tb 0.812 0.670 0.438
Tb 0.812 0.830 0.938
Ti 0.256 0.670 0.249
Ti 0.256 0.830 0.749
Ti 0.500 0.000 0.500
Ti 0.500 0.500 0.000
Ti 0.744 0.170 0.251
Ti 0.744 0.330 0.751
Ge 0.089 0.543 0.861
Ge 0.089 0.957 0.361
Ge 0.496 0.133 0.863
Ge 0.496 0.367 0.363
Ge 0.504 0.633 0.637
Ge 0.504 0.867 0.137
Ge 0.911 0.043 0.639
Ge 0.911 0.457 0.139

***

No. 4
Computed, not measured: a geometry-optimized TbTlGe structure at the PBE level of DFT.

Calculated values
Theoretical density ... 9.2 g/cm³
Energy above the lowest structure with this stoichiometry ... 74 meV per atom
D(E_F) ... 1.634 states/eV/f.u.
Energy of formation ... -0.312 eV/atom

a b c (Å): 3.847 4.726 9.770
angles (deg): 76.73 79.01 66.04
Element x y z (fractional)
Tb 0.000 0.000 0.000
Tb 0.090 0.218 0.590
Tl 0.224 0.343 0.208
Tl 0.454 0.704 0.377
Ge 0.388 0.409 0.806
Ge 0.707 0.798 0.782

***

No. 5
Computed, not measured: a geometry-optimized Tb5TlGe2 structure at the PBE level of DFT.

Calculated values
Theoretical density ... 8.8 g/cm³
D(E_F) ... 6.070 states/eV/f.u.
Energy of formation ... -0.627 eV/atom

a b c (Å): 8.907 8.907 8.907
angles (deg): 127.63 127.63 77.23
Element x y z (fractional)
Tb 0.000 0.000 0.000
Tb 0.020 0.520 0.822
Tb 0.198 0.020 0.500
Tb 0.302 0.802 0.822
Tb 0.480 0.302 0.500
Tb 0.500 0.500 0.000
Tb 0.520 0.698 0.500
Tb 0.698 0.198 0.178
Tb 0.802 0.980 0.500
Tb 0.980 0.480 0.178
Tl 0.250 0.250 0.000
Tl 0.750 0.750 0.000
Ge 0.142 0.358 0.500
Ge 0.358 0.858 0.216
Ge 0.642 0.142 0.784
Ge 0.858 0.642 0.500

***

No. 6
Computed, not measured: a geometry-optimized Tb5Tl2Ge2 structure at the PBE level of DFT.

Calculated values
Theoretical density ... 9.2 g/cm³
D(E_F) ... 6.112 states/eV/f.u.
Energy of formation ... -0.596 eV/atom

a b c (Å): 8.820 8.820 7.839
angles (deg): 90.00 90.00 52.74
Element x y z (fractional)
Tb 0.000 0.000 0.000
Tb 0.050 0.699 0.671
Tb 0.199 0.550 0.171
Tb 0.301 0.950 0.671
Tb 0.450 0.801 0.171
Tb 0.500 0.500 0.500
Tb 0.550 0.199 0.829
Tb 0.699 0.050 0.329
Tb 0.801 0.450 0.829
Tb 0.950 0.301 0.329
Tl 0.216 0.216 0.000
Tl 0.284 0.284 0.500
Tl 0.716 0.716 0.500
Tl 0.784 0.784 0.000
Ge 0.131 0.869 0.366
Ge 0.369 0.631 0.866
Ge 0.631 0.369 0.134
Ge 0.869 0.131 0.634

***

No. 7
Computed, not measured: a geometry-optimized TbTlGe2 structure at the PBE level of DFT.

Calculated values
Theoretical density ... 9.4 g/cm³
D(E_F) ... 1.970 states/eV/f.u.
Energy of formation ... -0.308 eV/atom

a b c (Å): 4.637 4.637 4.199
angles (deg): 90.00 90.00 90.00
Element x y z (fractional)
Tb 0.000 0.000 0.000
Tl 0.500 0.500 0.000
Ge 0.000 0.500 0.500
Ge 0.500 0.000 0.500

***

No. 8
Computed, not measured: a geometry-optimized TbTlGe structure at the PBE level of DFT.

Calculated values
Theoretical density ... 9.5 g/cm³
Energy above the lowest structure with this stoichiometry ... 0 meV per atom
D(E_F) ... 1.009 states/eV/f.u.
Energy of formation ... -0.385 eV/atom

a b c (Å): 6.295 6.295 6.284
angles (deg): 90.00 90.00 142.46
Element x y z (fractional)
Tb 0.126 0.874 0.750
Tb 0.874 0.126 0.250
Tl 0.155 0.845 0.250
Tl 0.845 0.155 0.750
Ge 0.500 0.500 0.000
Ge 0.500 0.500 0.500

***

No. 9
Computed, not measured: a geometry-optimized Tb5Tl2Ge structure at the PBE level of DFT.

Calculated values
Theoretical density ... 9.3 g/cm³
Energy above the lowest structure with this stoichiometry ... 133 meV per atom
D(E_F) ... 7.985 states/eV/f.u.
Energy of formation ... -0.305 eV/atom

a b c (Å): 6.251 6.506 6.589
angles (deg): 116.01 98.12 101.84
Element x y z (fractional)
Tb 0.000 0.000 0.000
Tb 0.081 0.076 0.548
Tb 0.477 0.826 0.069
Tb 0.575 0.440 0.499
Tb 0.908 0.501 0.057
Tl 0.100 0.564 0.561
Tl 0.569 0.974 0.628
Ge 0.415 0.320 0.010

***

No. 10
Computed, not measured: a geometry-optimized Tb7TlGe5 structure at the PBE level of DFT.

Calculated values
Theoretical density ... 8.5 g/cm³
D(E_F) ... 10.911 states/eV/f.u.
Energy of formation ... -0.507 eV/atom

a b c (Å): 7.994 7.994 7.994
angles (deg): 135.83 93.17 103.15
Element x y z (fractional)
Tb 0.000 0.000 0.000
Tb 0.319 0.650 0.670
Tb 0.369 0.369 0.000
Tb 0.433 0.101 0.332
Tb 0.769 0.101 0.668
Tb 0.859 0.359 0.500
Tb 0.980 0.650 0.330
Tl 0.681 0.681 0.000
Ge 0.120 0.157 0.514
Ge 0.120 0.606 0.963
Ge 0.372 0.872 0.500
Ge 0.643 0.157 0.037
Ge 0.643 0.606 0.486

***

No. 11
Computed, not measured: a geometry-optimized TbTlGe4 structure at the PBE level of DFT.

Calculated values
Theoretical density ... 8.4 g/cm³
D(E_F) ... 3.309 states/eV/f.u.
Energy of formation ... -0.133 eV/atom

a b c (Å): 5.684 5.684 5.684
angles (deg): 60.00 60.00 60.00
Element x y z (fractional)
Tb 0.000 0.000 0.000
Tl 0.250 0.250 0.250
Ge 0.123 0.626 0.626
Ge 0.626 0.123 0.626
Ge 0.626 0.626 0.123
Ge 0.626 0.626 0.626

***

No. 12
Computed, not measured: a geometry-optimized Tb5Tl2Ge structure at the PBE level of DFT.

Calculated values
Theoretical density ... 9.5 g/cm³
Energy above the lowest structure with this stoichiometry ... 0 meV per atom
D(E_F) ... 5.756 states/eV/f.u.
Energy of formation ... -0.438 eV/atom

a b c (Å): 7.062 12.743 4.970
angles (deg): 90.00 90.00 90.00
Element x y z (fractional)
Tb 0.000 0.000 0.000
Tb 0.140 0.282 0.000
Tb 0.172 0.587 0.500
Tb 0.328 0.087 0.500
Tb 0.360 0.782 0.000
Tb 0.500 0.500 0.000
Tb 0.640 0.218 0.000
Tb 0.672 0.913 0.500
Tb 0.828 0.413 0.500
Tb 0.860 0.718 0.000
Tl 0.102 0.840 0.500
Tl 0.398 0.340 0.500
Tl 0.602 0.660 0.500
Tl 0.898 0.160 0.500
Ge 0.000 0.500 0.000
Ge 0.500 0.000 0.000